No. 1
# UTl2Ni2O6

UTl2Ni2O6 after structural relaxation (PBE+U, Alexandria via LeMat-Bulk).

POSCAR file:
```
UTl2Ni2O6
1.0
-4.1216 -3.6075 -0.1883
3.6599 0.1601 -4.0764
3.9142 -3.0251 4.9024
O Tl Ni U
6 2 2 1
Direct
0.2637 0.2637 0.3378 O
0.3931 0.0612 0.6651 O
0.6069 0.9388 0.3349 O
0.7363 0.7363 0.6622 O
0.0612 0.3931 0.6651 O
0.9388 0.6069 0.3349 O
0.8275 0.1725 0.0000 Tl
0.1725 0.8275 0.0000 Tl
0.3336 0.6664 0.5000 Ni
0.6664 0.3336 0.5000 Ni
0.0000 0.0000 0.5000 U
```

space-group type = C2/m (12)
density = 8.30 g cm⁻³

No. 2
# K2PaFeO6

K2PaFeO6 after structural relaxation (PBE+U, Alexandria via LeMat-Bulk).

POSCAR file:
```
K2PaFeO6
1.0
5.8520 0.0001 0.0001
2.9261 5.0680 -0.0005
2.9260 1.6890 4.7783
K O Pa Fe
2 6 1 1
Direct
0.0661 0.0662 0.8016 K
0.5662 0.5661 0.3015 K
0.0747 0.5576 0.2929 O
0.5576 0.5577 0.8100 O
0.5576 0.0748 0.8102 O
0.0747 0.0746 0.2930 O
0.0747 0.5576 0.8100 O
0.5576 0.0747 0.2930 O
0.8162 0.8162 0.5515 Pa
0.3162 0.3162 0.0515 Fe
```

space-group type = Fm-3m (225)
density = 5.40 g cm⁻³
DOS(E_F) = 4.84 states/eV/f.u.

no.,E_tot (Ry/atom)
1,-0.46225
2,-0.49840